1.
Cd2BI, optimized geometry, DFT PBE; VASP energy = -15.90 eV per cell; offset from the most stable computed form = 0 meV/atom; ΔE_f (raw) = 50.9 kJ/mol of atoms
1.0
6.508 0.000 0.000
0.000 6.508 0.000
3.254 3.254 5.296
Cd B I
4 2 2
Cartesian
8.136 7.429 3.972
2.333 4.881 1.324
4.175 1.627 1.324
4.881 5.587 3.972
3.254 3.254 0.000
3.254 6.508 2.648
6.508 3.254 2.648
0.000 0.000 0.000

=====

2.
P3RuCl, optimized geometry, DFT PBE; VASP energy = -24.44 eV per cell; offset from the most stable computed form = 0 meV/atom; ΔE_f (raw) = 56.1 kJ/mol of atoms
1.0
-2.158 1.717 3.702
-3.039 -3.471 -0.162
2.723 -2.513 2.753
P Ru Cl
3 1 1
Cartesian
-1.079 0.858 1.851
1.362 -1.256 1.376
-1.519 -1.735 -0.081
0.000 0.000 0.000
-1.237 -2.134 3.146

=====

3.
NaBeNb2Hg, optimized geometry, DFT PBE; VASP energy = -16.21 eV per cell; offset from the most stable computed form = 246 meV/atom; ΔH_f (0 K) = 179.0 kJ/mol of atoms
1.0
4.775 0.000 0.000
0.000 4.775 0.000
0.000 0.000 4.242
Na Nb Hg Be
1 2 1 1
Cartesian
0.000 0.000 0.000
0.000 2.388 0.000
2.388 0.000 0.000
2.388 2.388 2.121
0.000 0.000 2.121

=====

4.
DyThN2, optimized geometry, DFT PBE; VASP energy = -35.16 eV per cell; ΔE_f (raw) = -156.6 kJ/mol of atoms
1.0
-3.527 0.271 0.544
-2.073 -2.908 -0.230
-1.061 -1.892 5.778
Th Dy N
1 1 2
Cartesian
-3.330 -2.265 3.046
0.000 0.000 0.000
-1.669 -1.128 1.499
-4.991 -3.401 4.593

=====

5.
Hf2Si2Au, optimized geometry, DFT PBE; VASP energy = -74.43 eV per cell; ΔE_f (raw) = -61.5 kJ/mol of atoms
1.0
-6.071 2.584 -0.990
-2.412 -6.112 -1.159
-0.782 -0.402 3.747
Si Hf Au
4 4 2
Cartesian
-6.826 -1.544 -1.591
-4.081 0.857 -0.760
-1.657 -1.984 -0.559
-4.401 -4.385 -1.389
-6.175 -0.052 0.682
-2.782 -0.440 1.349
-3.091 -3.878 0.916
-6.483 -3.490 0.249
-4.241 -1.764 -1.075
0.000 0.000 0.000